[1]
{
  "formula": "LaPu2Ge",
  "functional": "GGA-PBE",
  "state": "optimized geometry",
  "space_group": "No. 123",
  "lattice_angstrom": [[-2.4115, -2.5083, -3.4310], [-2.5485, -1.9734, 3.2339], [-3.0456, 3.3853, -0.3343]],
  "species": ["Pu", "Pu", "Ge", "La"],
  "fractional_positions": [[0.0000, 0.0000, 0.5000], [0.0000, 0.5000, 0.0000], [0.5000, 0.0000, 0.0000], [0.5000, 0.5000, 0.5000]]
}

=====

[2]
{
  "formula": "Tb8Er3In",
  "functional": "GGA-PBE",
  "state": "optimized geometry",
  "space_group": "No. 121",
  "lattice_angstrom": [[7.4756, -0.4854, -3.5541], [-4.3715, 6.9489, -1.1636], [-0.3053, 0.4854, 8.2718]],
  "species": ["Tb", "Tb", "Tb", "Er", "Tb", "Tb", "Er", "Tb", "Er", "Tb", "Tb", "In"],
  "fractional_positions": [[0.0000, 0.2354, 0.7263], [0.0000, 0.6182, 0.8716], [0.0000, 0.7263, 0.2354], [0.5000, 0.2500, 0.7500], [0.7465, 0.1284, 0.1284], [0.4909, 0.7646, 0.7646], [0.0000, 0.5000, 0.5000], [0.2535, 0.3818, 0.3818], [0.5000, 0.7500, 0.2500], [0.0000, 0.8716, 0.6182], [0.5091, 0.2737, 0.2737], [0.0000, 0.0000, 0.0000]]
}

=====

[3]
{
  "formula": "GaRe",
  "functional": "GGA-PBE",
  "state": "optimized geometry",
  "space_group": "No. 87",
  "lattice_angstrom": [[9.9136, 0.0000, 0.0000], [0.0000, 9.9136, 0.0000], [0.0000, 0.0000, 2.9565]],
  "species": ["Re", "Ga", "Ga", "Ga", "Ga", "Ga", "Ga", "Re", "Ga", "Re", "Re", "Ga", "Re", "Re", "Re", "Re"],
  "fractional_positions": [[0.6407, 0.0650, 0.0000], [0.6345, 0.3125, 0.5000], [0.1345, 0.8125, 0.0000], [0.8655, 0.1875, 0.0000], [0.3655, 0.6875, 0.5000], [0.6875, 0.6345, 0.5000], [0.1875, 0.1345, 0.0000], [0.1407, 0.5650, 0.5000], [0.8125, 0.8655, 0.0000], [0.4350, 0.1407, 0.5000], [0.5650, 0.8593, 0.5000], [0.3125, 0.3655, 0.5000], [0.9350, 0.6407, 0.0000], [0.8593, 0.4350, 0.5000], [0.0650, 0.3593, 0.0000], [0.3593, 0.9350, 0.0000]]
}

=====

[4]
{
  "formula": "Li7La3Sn4",
  "functional": "GGA-PBE",
  "state": "optimized geometry",
  "space_group": "No. 12",
  "lattice_angstrom": [[0.0661, 4.5023, 1.8924], [5.7075, -0.4305, 7.1280], [8.7650, 2.7583, -0.5655]],
  "species": ["Sn", "Li", "La", "Li", "Li", "La", "Sn", "Li", "Sn", "Li", "Li", "La", "Sn", "Li"],
  "fractional_positions": [[0.3642, 0.4859, 0.7858], [0.6678, 0.1751, 0.4892], [0.2668, 0.2409, 0.2255], [0.5191, 0.1645, 0.7973], [0.1440, 0.6717, 0.0403], [0.0000, 0.5000, 0.5000], [0.1348, 0.0532, 0.6772], [0.4809, 0.8355, 0.2027], [0.6358, 0.5141, 0.2142], [0.8560, 0.3283, 0.9596], [0.3322, 0.8249, 0.5108], [0.7332, 0.7591, 0.7745], [0.8652, 0.9468, 0.3228], [0.0000, 0.0000, 0.0000]]
}

=====

Formation energy from the elements
In order: -272; 510; 262; -546
Unit: meV/atom
Ρ
In order: 11.40; 7.53; 11.70; 4.71
Unit: g/cm3